[1]
The following is a PBE calculation of a geometry-optimized PrBPd3Pt structure, from OQMD.

It has space group P6/mmm (No. 191), with a = 5.4987 Å, b = 5.4987 Å, c = 7.6552 Å, α = 90.00°, β = 90.00° and γ = 120.00°. The inequivalent atoms are Pr at (0.0000, 0.0000, 0.0000), Pr at (0.0000, 0.0000, 0.5000), B at (0.3333, 0.6667, 0.0000), Pd at (0.0000, 0.5000, 0.1962) and Pt at (0.3333, 0.6667, 0.5000).

The total DFT energy (no corrections) comes out at -6.15 eV per atom.

---

[2]
The following is a PBE calculation of a geometry-optimized PrBPdPt3 structure, from OQMD.

It has space group P6/mmm (No. 191), with a = 5.5091 Å, b = 5.5091 Å, c = 7.6951 Å, α = 90.00°, β = 90.00° and γ = 120.00°. The inequivalent atoms are Pr at (0.0000, 0.0000, 0.0000), Pr at (0.0000, 0.0000, 0.5000), B at (0.3333, 0.6667, 0.0000), Pd at (0.3333, 0.6667, 0.5000) and Pt at (0.0000, 0.5000, 0.1990).

The total DFT energy (no corrections) comes out at -6.58 eV per atom.

---

[3]
The following is a PBE calculation of a geometry-optimized B4PdPt structure, from OQMD.

It has space group P6/mmm (No. 191), with a = 3.0444 Å, b = 3.0444 Å, c = 7.2465 Å, α = 90.00°, β = 90.00° and γ = 120.00°. The inequivalent atoms are B at (0.3333, 0.6667, 0.2471), Pd at (0.0000, 0.0000, 0.5000) and Pt at (0.0000, 0.0000, 0.0000).

The offset from the most stable computed form is 2.4 kJ per mole of atoms. The total DFT energy (no corrections) comes out at -5.90 eV per atom.